(1)
# ZrAgBiI2, optimized geometry, DFT GGA-PBE
# Raw formation energy (meV per atom): 392
# Mass density (g/cm3): 6.05
data_ZrAgBiI2
_chemical_formula_sum 'Zr1 Ag1 Bi1 I2'
_cell_length_a 5.615
_cell_length_b 5.615
_cell_length_c 5.764
_cell_angle_alpha 90.00
_cell_angle_beta 90.00
_cell_angle_gamma 90.00
_symmetry_space_group_name_H-M 'P 4/m m m'
_symmetry_Int_Tables_number 123
_symmetry_space_group_name_Hall '-P 4 2'
loop_
_atom_site_label
_atom_site_type_symbol
_atom_site_fract_x
_atom_site_fract_y
_atom_site_fract_z
_atom_site_occupancy
Zr1 Zr 0.000 0.000 0.000 1
Ag1 Ag 0.000 0.000 0.500 1
Bi1 Bi 0.500 0.500 0.500 1
I1 I 0.000 0.500 0.000 1

(2)
# InAg2Bi, optimized geometry, DFT GGA-PBE
# Mass density (g/cm3): 9.75
# DFT formation energy (eV per atom): 0.08
data_InAg2Bi
_chemical_formula_sum 'In1 Ag2 Bi1'
_cell_length_a 3.323
_cell_length_b 3.323
_cell_length_c 8.322
_cell_angle_alpha 90.00
_cell_angle_beta 90.00
_cell_angle_gamma 90.00
_symmetry_space_group_name_H-M 'P 4/m m m'
_symmetry_Int_Tables_number 123
_symmetry_space_group_name_Hall '-P 4 2'
loop_
_atom_site_label
_atom_site_type_symbol
_atom_site_fract_x
_atom_site_fract_y
_atom_site_fract_z
_atom_site_occupancy
In1 In 0.000 0.000 0.000 1
Ag1 Ag 0.500 0.500 0.229 1
Bi1 Bi 0.000 0.000 0.500 1

(3)
# In12AgBi3, optimized geometry, DFT GGA-PBE
# Mass density (g/cm3): 7.89
# DFT formation energy (eV per atom): 0.04
data_In12AgBi3
_chemical_formula_sum 'In12 Ag1 Bi3'
_cell_length_a 4.563
_cell_length_b 4.563
_cell_length_c 21.344
_cell_angle_alpha 90.00
_cell_angle_beta 90.00
_cell_angle_gamma 90.00
_symmetry_space_group_name_H-M 'P 4/m m m'
_symmetry_Int_Tables_number 123
_symmetry_space_group_name_Hall '-P 4 2'
loop_
_atom_site_label
_atom_site_type_symbol
_atom_site_fract_x
_atom_site_fract_y
_atom_site_fract_z
_atom_site_occupancy
In1 In 0.000 0.000 0.000 1
In2 In 0.000 0.000 0.237 1
In3 In 0.000 0.000 0.500 1
In4 In 0.000 0.500 0.111 1
In5 In 0.000 0.500 0.371 1
Ag1 Ag 0.500 0.500 0.000 1
Bi1 Bi 0.500 0.500 0.244 1
Bi2 Bi 0.500 0.500 0.500 1

(4)
# In2AgBi, optimized geometry, DFT GGA-PBE
# Mass density (g/cm3): 8.74
# DFT formation energy (eV per atom): 0.09
data_In2AgBi
_chemical_formula_sum 'In2 Ag1 Bi1'
_cell_length_a 4.615
_cell_length_b 4.615
_cell_length_c 4.877
_cell_angle_alpha 90.00
_cell_angle_beta 90.00
_cell_angle_gamma 90.00
_symmetry_space_group_name_H-M 'P 4/m m m'
_symmetry_Int_Tables_number 123
_symmetry_space_group_name_Hall '-P 4 2'
loop_
_atom_site_label
_atom_site_type_symbol
_atom_site_fract_x
_atom_site_fract_y
_atom_site_fract_z
_atom_site_occupancy
In1 In 0.000 0.500 0.000 1
Ag1 Ag 0.000 0.000 0.500 1
Bi1 Bi 0.500 0.500 0.500 1

(5)
# In3Ag3Bi, optimized geometry, DFT GGA-PBE
# Mass density (g/cm3): 6.41
# DFT formation energy (eV per atom): 0.51
data_In3Ag3Bi
_chemical_formula_sum 'In6 Ag6 Bi2'
_cell_length_a 7.688
_cell_length_b 7.688
_cell_length_c 7.688
_cell_angle_alpha 90.00
_cell_angle_beta 90.00
_cell_angle_gamma 90.00
_symmetry_space_group_name_H-M 'P m -3 n'
_symmetry_Int_Tables_number 223
_symmetry_space_group_name_Hall '-P 4n 2 3'
loop_
_atom_site_label
_atom_site_type_symbol
_atom_site_fract_x
_atom_site_fract_y
_atom_site_fract_z
_atom_site_occupancy
In1 In 0.000 0.250 0.500 1
Ag1 Ag 0.000 0.500 0.250 1
Bi1 Bi 0.000 0.000 0.000 1

(6)
# InAgBi, optimized geometry, DFT GGA-PBE
# Mass density (g/cm3): 9.33
# DFT formation energy (eV per atom): 0.05
data_InAgBi
_chemical_formula_sum 'In4 Ag4 Bi4'
_cell_length_a 13.490
_cell_length_b 4.187
_cell_length_c 6.101
_cell_angle_alpha 90.00
_cell_angle_beta 116.84
_cell_angle_gamma 90.00
_symmetry_space_group_name_H-M 'C 1 2/m 1'
_symmetry_Int_Tables_number 12
_symmetry_space_group_name_Hall '-C 2y'
loop_
_atom_site_label
_atom_site_type_symbol
_atom_site_fract_x
_atom_site_fract_y
_atom_site_fract_z
_atom_site_occupancy
In1 In 0.000 0.000 0.241 1
Ag1 Ag 0.122 0.500 0.622 1
Bi1 Bi 0.204 0.500 0.204 1

(7)
# InAg4Bi, optimized geometry, DFT GGA-PBE
# Mass density (g/cm3): 9.66
# DFT formation energy (eV per atom): 0.05
data_InAg4Bi
_chemical_formula_sum 'In4 Ag16 Bi4'
_cell_length_a 8.037
_cell_length_b 8.037
_cell_length_c 8.037
_cell_angle_alpha 90.00
_cell_angle_beta 90.00
_cell_angle_gamma 90.00
_symmetry_space_group_name_H-M 'F -4 3 m'
_symmetry_Int_Tables_number 216
_symmetry_space_group_name_Hall 'F -4 2 3'
loop_
_atom_site_label
_atom_site_type_symbol
_atom_site_fract_x
_atom_site_fract_y
_atom_site_fract_z
_atom_site_occupancy
In1 In 0.000 0.000 0.000 1
Ag1 Ag 0.125 0.125 0.625 1
Bi1 Bi 0.250 0.250 0.250 1

(8)
# In3AgBi, optimized geometry, DFT GGA-PBE
# Offset from the most stable computed form (eV/f.u.): 0.00
# Mass density (g/cm3): 8.36
# DFT formation energy (eV per atom): 0.04
data_In3AgBi
_chemical_formula_sum 'In6 Ag2 Bi2'
_cell_length_a 8.641
_cell_length_b 3.417
_cell_length_c 9.338
_cell_angle_alpha 90.00
_cell_angle_beta 107.69
_cell_angle_gamma 90.00
_symmetry_space_group_name_H-M 'P 1 21 1'
_symmetry_Int_Tables_number 4
_symmetry_space_group_name_Hall 'P 2yb'
loop_
_atom_site_label
_atom_site_type_symbol
_atom_site_fract_x
_atom_site_fract_y
_atom_site_fract_z
_atom_site_occupancy
In1 In 0.060 0.000 0.167 1
In2 In 0.321 0.503 0.994 1
In3 In 0.336 0.501 0.409 1
Ag1 Ag 0.483 0.504 0.752 1
Bi1 Bi 0.167 0.005 0.641 1

> The highest mass density belongs to which entry?

InAg2Bi